First-principles (PBE with a Hubbard U) data for crystalline AlNiAsO6 at its relaxed geometry, as listed in the Alexandria database.

Cell lengths 4.9186, 4.9186, 8.5204 Å; angles 90.00, 90.00, 120.00 degrees
Last column: nearest neighbours and their distance in Å.
Element x y z (fractional)
Al 0.3333 0.6667 0.2500  6 O 1.91
Al 0.6667 0.3333 0.7500  6 O 1.91
Ni 0.0000 0.0000 0.0000  6 O 2.07
Ni 0.0000 0.0000 0.5000  6 O 2.07
As 0.3333 0.6667 0.7500  6 O 1.86
As 0.6667 0.3333 0.2500  6 O 1.86
O 0.0075 0.3545 0.6335  1 As 1.86, 1 Al 1.91, 1 Ni 2.07
O 0.0075 0.6531 0.8665  1 As 1.86, 1 Al 1.91, 1 Ni 2.07
O 0.3469 0.3545 0.8665  1 As 1.86, 1 Al 1.91, 1 Ni 2.07
O 0.3469 0.9925 0.6335  1 As 1.86, 1 Al 1.91, 1 Ni 2.07
O 0.3545 0.0075 0.1335  1 As 1.86, 1 Al 1.91, 1 Ni 2.07
O 0.3545 0.3469 0.3665  1 As 1.86, 1 Al 1.91, 1 Ni 2.07
O 0.6455 0.6531 0.6335  1 As 1.86, 1 Al 1.91, 1 Ni 2.07
O 0.6455 0.9925 0.8665  1 As 1.86, 1 Al 1.91, 1 Ni 2.07
O 0.6531 0.0075 0.3665  1 As 1.86, 1 Al 1.91, 1 Ni 2.07
O 0.6531 0.6455 0.1335  1 As 1.86, 1 Al 1.91, 1 Ni 2.07
O 0.9925 0.3469 0.1335  1 As 1.86, 1 Al 1.91, 1 Ni 2.07
O 0.9925 0.6455 0.3665  1 As 1.86, 1 Al 1.91, 1 Ni 2.07

Values from the calculation:
Space group ... P-31c, No. 163
Spin magnetization ... 4.02 μB/f.u.
Calculated total energy ... -5.89 eV/atom